Compound: DyTmPu2
Source: the Alexandria database
Functional: GGA-PBE
Structure: relaxed

Cell lengths 11.515, 11.515, 11.515 Å; angles 17.08, 17.08, 17.08 degrees
Positions (direct):
Dy1 0.000 0.000 0.000
Tm1 0.500 0.500 0.500
Pu1 0.249 0.249 0.249
Pu2 0.751 0.751 0.751

Results
The value obtained for the calculated total energy is -9.26 eV/atom. The calculation puts the energy relative to the elements at 171 meV per atom. The value obtained for the magnetic moment is 2.988 μB/atom. For the polymorph energy (0 for the lowest one), the calculation gives 0.7 kJ per mole of atoms.